a) Below is crystalline AcTlRh at its relaxed geometry, with properties calculated at the GGA-PBE level.

```
AcTlRh
1.0
-3.0582 1.5060 1.2240
-1.9355 -2.5334 -1.7189
2.7285 -2.9349 5.0693
Ac Rh Tl
1 1 1
Direct
0.2609 0.2609 0.5218
0.6094 0.6094 0.2188
0.9797 0.9797 0.9594
```

Summary:
- calculated volume (Å³/f.u.) = 77.8
- SG = I4mm (107)



b) Below is crystalline AcTlRh at its relaxed geometry, with properties calculated at the GGA-PBE level.

```
AcTlRh
1.0
-2.5954 1.5714 -3.5946
-1.9539 -0.5443 4.2505
4.4441 8.5351 0.5225
Ac Rh Tl
2 2 2
Direct
0.2490 0.4979 0.7472
0.7510 0.5021 0.2528
0.1404 0.2808 0.4205
0.8596 0.7192 0.5795
0.0000 0.0000 0.0000
0.5000 0.0000 0.5000
```

Summary:
- calculated volume (Å³/f.u.) = 88.7
- SG = R-3m (166)



c) Below is crystalline AcTlRh at its relaxed geometry, with properties calculated at the GGA-PBE level.

```
AcTlRh
1.0
-1.6630 3.2276 2.3055
-2.0267 -2.7092 2.3308
8.1912 0.9394 4.5933
Tl Rh Ac
2 2 2
Direct
0.2500 0.7090 0.4180
0.7500 0.2910 0.5820
0.7500 0.4444 0.8888
0.2500 0.5556 0.1112
0.2500 0.9107 0.8214
0.7500 0.0893 0.1786
```

Summary:
- calculated volume (Å³/f.u.) = 81.4
- SG = Cmcm (63)



d) Below is crystalline AcTlRh at its relaxed geometry, with properties calculated at the GGA-PBE level.

```
AcTlRh
1.0
4.9613 0.0000 0.0000
2.4806 4.2966 0.0000
2.4806 1.4322 4.0509
Ac Rh Tl
1 1 1
Direct
0.0000 0.0000 0.0000
0.2500 0.2500 0.2500
0.5000 0.5000 0.5000
```

Summary:
- calculated volume (Å³/f.u.) = 86.4
- SG = F-43m (216)



Energy above the most stable structure, in eV/atom: a) 0.260; b) 0.157; c) 0.000; d) 0.113



a) Below is crystalline AcTlRh at its relaxed geometry, with properties calculated at the GGA-PBE level.

```
AcTlRh
1.0
-1.1032 -3.0537 -3.3545
-0.6176 -1.5515 4.3596
-7.0998 5.5798 0.8851
Rh Ac Tl
2 2 2
Direct
0.4992 0.7921 0.2912
0.5876 0.2690 0.8566
0.0260 0.0039 0.0300
0.3500 0.1554 0.5054
0.1816 0.5883 0.7699
0.8357 0.4313 0.2669
```

Summary:
- calculated volume (Å³/f.u.) = 84.9
- SG = Cm (8)



b) Below is crystalline AcTlRh at its relaxed geometry, with properties calculated at the GGA-PBE level.

```
AcTlRh
1.0
-0.8925 1.4896 -3.8985
-1.4272 -4.3161 -1.3224
-3.1006 3.0476 1.8743
Tl Rh Ac
1 1 1
Direct
0.1888 0.3333 0.6667
0.1192 0.0000 0.0000
0.6920 0.6667 0.3333
```

Summary:
- calculated volume (Å³/f.u.) = 82.8
- SG = P3m1 (156)



Energy above the most stable structure, in eV/atom: a) 0.000; b) 0.029



a) Below is crystalline Ac5Tl2Rh at its relaxed geometry, with properties calculated at the GGA-PBE level.

```
Ac5Tl2Rh
1.0
6.2381 0.0000 0.0000
-3.1190 5.8797 0.0000
0.0000 0.0000 16.5715
Ac Tl Rh
10 4 2
Direct
0.9130 0.8261 0.8837
0.0870 0.1739 0.3837
0.5878 0.1757 0.8834
0.5878 0.1757 0.6166
0.4122 0.8243 0.3834
0.0870 0.1739 0.1163
0.7493 0.4985 0.2500
0.4122 0.8243 0.1166
0.9130 0.8261 0.6163
0.2507 0.5015 0.7500
0.2499 0.4999 0.5513
0.7501 0.5001 0.4487
0.7501 0.5001 0.0513
0.2499 0.4999 0.9487
0.2493 0.4986 0.2500
0.7507 0.5014 0.7500
```

Summary:
- calculated volume (Å³/f.u.) = 303.9
- SG = Cmcm (63)



b) Below is crystalline Ac5Tl2Rh at its relaxed geometry, with properties calculated at the GGA-PBE level.

```
Ac5Tl2Rh
1.0
-3.6834 -2.7220 -1.9706
5.7380 -6.7925 -1.3429
-2.8339 -4.7341 11.8365
Rh Ac Tl
2 10 4
Direct
0.0000 0.0000 0.0000
0.0000 0.5000 0.5000
0.5000 0.1811 0.0708
0.5000 0.6811 0.4292
0.0000 0.5000 0.0000
0.0000 0.0000 0.5000
0.0000 0.3617 0.2994
0.5000 0.8189 0.9292
0.0000 0.1383 0.7994
0.0000 0.6383 0.7006
0.5000 0.3189 0.5708
0.0000 0.8617 0.2006
0.5000 0.0755 0.3296
0.5000 0.5755 0.1704
0.5000 0.4245 0.8296
0.5000 0.9245 0.6704
```

Summary:
- calculated volume (Å³/f.u.) = 292.8
- SG = Pbam (55)



Energy above the most stable structure, in eV/atom: a) 0.151; b) 0.000



a) Below is crystalline Ac4Tl2Rh at its relaxed geometry, with properties calculated at the GGA-PBE level.

```
Ac4Tl2Rh
1.0
4.1904 0.0000 0.0000
0.0000 7.1437 -0.1269
-2.0952 -3.6025 8.7329
Rh Ac Tl
1 4 2
Direct
0.0000 0.0000 0.0000
0.3882 0.7349 0.7764
0.6118 0.2651 0.2236
0.0896 0.7527 0.1791
0.9104 0.2473 0.8209
0.7430 0.7988 0.4861
0.2570 0.2012 0.5139
```

Summary:
- calculated volume (Å³/f.u.) = 259.5
- SG = C2/m (12)



b) Below is crystalline Ac4Tl2Rh at its relaxed geometry, with properties calculated at the GGA-PBE level.

```
Ac4Tl2Rh
1.0
-3.4997 -2.6370 -2.1476
0.5184 -6.6708 1.8018
-5.9555 -1.3987 5.8780
Tl Ac Rh
2 4 1
Direct
0.3596 0.6206 0.6602
0.6404 0.3794 0.3398
0.0758 0.2037 0.6448
0.6647 0.7355 0.9352
0.3353 0.2645 0.0648
0.9242 0.7963 0.3552
0.0000 0.0000 0.0000
```

Summary:
- calculated volume (Å³/f.u.) = 251.6
- SG = C2/m (12)



Energy above the most stable structure, in eV/atom: a) 0.046; b) 0.000